1.
The following is a DFT calculation (PBE) of an optimized crystal structure of Cs3HBr2.

Results
Space group: Immm, No. 71
Total moment in μB/f.u.: 0.03
VASP energy in eV for the cell shown: -16.6

Lattice parameters (Å, degrees): 4.9758 7.2075 8.7494 114.32 106.52 90.00
With the nearest neighbours (Å) after each atom.
Sites, in units of the cell vectors:
H 0.0000 0.5000 0.0000  6 Cs 3.35-3.60
Br 0.6713 0.1713 0.3426  6 Cs 3.59-3.70
Cs 0.3516 0.3516 0.7033  2 H 3.35, 4 Br 3.62-3.70
Br 0.3287 0.8287 0.6574  6 Cs 3.59-3.70
Cs 0.6484 0.6484 0.2967  2 H 3.35, 4 Br 3.62-3.70
Cs 0.0000 0.0000 0.0000  4 Br 3.59, 2 H 3.60



2.
The following is a DFT calculation (PBE) of an optimized crystal structure of CsHBr3.

Results
Space group: P2_1/m, No. 11
Relative energy among the computed polymorphs in meV per atom: 60
Total moment in μB/f.u.: 0.64

Lattice parameters (Å, degrees): 6.6401 6.4500 8.7705 90.00 90.09 90.00
With the nearest neighbours (Å) after each atom.
Sites, in units of the cell vectors:
H 0.7488 0.7500 0.8458  2 Br 1.69
Br 0.2506 0.5111 0.1430  1 H 1.69
Br 0.2506 0.9889 0.1430  1 H 1.69
Br 0.2513 0.7500 0.5163  4 Cs 3.60-3.82, 2 Br 3.62
Br 0.7494 0.0111 0.8570  1 H 1.69
Cs 0.2493 0.2500 0.6992  8 Br 3.60-3.91, 1 H 3.99
Br 0.7487 0.2500 0.4837  4 Cs 3.60-3.82, 2 Br 3.62
H 0.2512 0.2500 0.1542  2 Br 1.69
Cs 0.7507 0.7500 0.3008  8 Br 3.60-3.91, 1 H 3.99
Br 0.7494 0.4889 0.8570  1 H 1.69



3.
The following is a DFT calculation (PBE) of an optimized crystal structure of CsHBr3.

Results
Space group: Cmc2_1, No. 36
Relative energy among the computed polymorphs in meV per atom: 0
Total moment in μB/f.u.: 1.00

Lattice parameters (Å, degrees): 7.7672 7.0672 7.8262 90.00 119.75 90.00
With the nearest neighbours (Å) after each atom.
Sites, in units of the cell vectors:
Br 0.1932 0.9515 0.7565  1 Br 2.87, 1 H 3.04
H 0.0111 0.9464 0.0222  1 Br 1.44
Cs 0.6473 0.9514 0.2946  10 Br 3.83-3.98
Br 0.4367 0.4515 0.2435  1 Br 2.87, 1 H 3.04
Br 0.5633 0.9515 0.7565  1 Br 2.87, 1 H 3.04
H 0.9889 0.4464 0.9778  1 Br 1.44
Cs 0.3527 0.4514 0.7054  10 Br 3.83-3.98
Br 0.8827 0.4492 0.7655  1 H 1.44
Br 0.1173 0.9492 0.2345  1 H 1.44
Br 0.8068 0.4515 0.2435  1 Br 2.87, 1 H 3.04



4.
The following is a DFT calculation (PBE) of an optimized crystal structure of Cs4H12Br.

Results
Space group: Im-3, No. 204
Total moment in μB/f.u.: 0.00
VASP energy in eV for the cell shown: -47.2

Lattice parameters (Å, degrees): 8.5559 8.5559 8.5559 109.47 109.47 109.47
With the nearest neighbours (Å) after each atom.
Sites, in units of the cell vectors:
Br 0.0000 0.0000 0.0000  8 Cs 4.28, 12 H 4.72
Cs 0.5000 0.5000 0.5000  6 H 3.46
Cs 0.0000 0.0000 0.5000  6 H 3.46
H 0.1246 0.5393 0.6639  1 H 0.78
H 0.4147 0.8754 0.5393  1 H 0.78
Cs 0.0000 0.5000 0.0000  6 H 3.46
H 0.5393 0.6639 0.1246  1 H 0.78
H 0.4607 0.5853 0.1246  1 H 0.78
H 0.1246 0.4607 0.5853  1 H 0.78
H 0.4607 0.3361 0.8754  1 H 0.78
Cs 0.5000 0.0000 0.0000  6 H 3.46
H 0.6639 0.1246 0.5393  1 H 0.78
H 0.5853 0.1246 0.4607  1 H 0.78
H 0.8754 0.4607 0.3361  1 H 0.78
H 0.8754 0.5393 0.4147  1 H 0.78
H 0.5393 0.4147 0.8754  1 H 0.78
H 0.3361 0.8754 0.4607  1 H 0.78